Entry 1:
LiSBr6: relaxed, PBE.

Cell: 6.6950 6.6979 6.9608 Å, 60.56 61.20 60.03°
With the nearest neighbours (Å) after each atom.
Positions (direct):
Br  0.3984  0.7803  0.7558  1 S 2.52
Br  0.6016  0.2197  0.2442  1 S 2.52
Br  0.7785  0.0675  0.7545  1 S 2.52, 1 Li 2.78
Br  0.9324  0.5979  0.2479  1 S 2.52, 1 Li 2.79
Br  0.2215  0.9325  0.2455  1 S 2.52, 1 Li 2.78
Br  0.0676  0.4021  0.7521  1 S 2.52, 1 Li 2.79
S  0.0000  0.0000  0.0000  6 Br 2.52
Li  0.5000  0.5000  0.5000  6 Br 2.78-2.83

As for the density of states at the Fermi level: 1.401 states/eV per atom. Its final energy is -2.161 eV/atom. The formation energy without anion corrections is -0.151 eV per atom. Its space-group type is P-1 (2).

---

Entry 2:
LiSBr2: relaxed, PBE.

Cell: 8.1528 8.1528 8.1528 Å, 27.98 27.98 27.98°
With the nearest neighbours (Å) after each atom.
Positions (direct):
S  0.0000  0.0000  0.0000  2 Br 2.45
Li  0.5000  0.5000  0.5000  6 Br 2.71
Br  0.1042  0.1042  0.1042  1 S 2.45, 3 Li 2.71
Br  0.8958  0.8958  0.8958  1 S 2.45, 3 Li 2.71

As for the density of states at the Fermi level: 0.259 states/eV per atom. Its final energy is -2.756 eV/atom. The formation energy without anion corrections is -0.409 eV per atom. For the energy above the most stable polymorph in this dataset, the calculation gives 0 meV/atom. Its space-group type is R-3m (166).

---

Entry 3:
LiS6Br2: relaxed, PBE.

Cell: 4.0226 7.4826 8.3298 Å, 111.06 103.84 90.46°
With the nearest neighbours (Å) after each atom.
Positions (direct):
S  0.9194  0.5483  0.2702  2 S 2.07-2.10
S  0.0806  0.4517  0.7298  2 S 2.07-2.10
S  0.9842  0.2324  0.4813  2 S 2.05-2.07
S  0.1946  0.3288  0.3228  2 S 2.05-2.10
S  0.0158  0.7676  0.5187  2 S 2.05-2.07
S  0.8054  0.6712  0.6772  2 S 2.05-2.10
Br  0.5678  0.8379  0.1171  2 Li 2.66-2.73
Br  0.4322  0.1621  0.8829  2 Li 2.66-2.73
Li  0.0000  0.0000  0.0000  4 Br 2.66-2.73, 2 S 2.85

As for the density of states at the Fermi level: 0.316 states/eV per atom. Its final energy is -3.558 eV/atom. The formation energy without anion corrections is -0.222 eV per atom. Its space-group type is P-1 (2).